No. 1
! NaZrCrH, optimized geometry, DFT PBE; values from VASP
&SYSTEM
  ibrav = 0, nat = 4, ntyp = 4
/
ATOMIC_SPECIES
Na 22.99 Na.upf
Zr 91.22 Zr.upf
Cr 52.00 Cr.upf
H 1.01 H.upf
CELL_PARAMETERS angstrom
3.0602 0.0000 0.0000
0.0000 2.1294 5.3907
0.0000 -2.1294 5.3907
ATOMIC_POSITIONS angstrom
Na 0.0000 0.0000 0.0000
Zr 1.5301 0.0000 3.1305
Cr 0.0000 0.0000 7.4906
H 1.5301 0.0000 8.4638
! VASP energy = -21.24 eV/cell
! crystal system = orthorhombic
! space-group type = Amm2
! polymorph energy (0 for the lowest one) = 0.123 eV per atom


No. 2
! NaZrCrH, optimized geometry, DFT PBE; values from VASP
&SYSTEM
  ibrav = 0, nat = 4, ntyp = 4
/
ATOMIC_SPECIES
Na 22.99 Na.upf
Zr 91.22 Zr.upf
Cr 52.00 Cr.upf
H 1.01 H.upf
CELL_PARAMETERS angstrom
2.6949 0.0000 0.0000
-0.0012 4.7516 0.0000
-0.0197 -2.3683 4.6893
ATOMIC_POSITIONS angstrom
Na 0.0000 0.0000 0.0000
Zr 1.2331 0.0071 2.9759
Cr 2.5433 2.3771 1.6574
H 1.2000 2.3936 0.4557
! VASP energy = -21.01 eV/cell
! crystal system = triclinic
! space-group type = P1
! polymorph energy (0 for the lowest one) = 0.179 eV per atom


No. 3
! NaZrCrH, optimized geometry, DFT PBE; values from VASP
&SYSTEM
  ibrav = 0, nat = 4, ntyp = 4
/
ATOMIC_SPECIES
Na 22.99 Na.upf
Zr 91.22 Zr.upf
Cr 52.00 Cr.upf
H 1.01 H.upf
CELL_PARAMETERS angstrom
2.7782 0.0000 0.0000
-0.9854 2.9127 0.0000
-0.1373 -1.4305 7.8078
ATOMIC_POSITIONS angstrom
Na 0.0000 0.0000 0.0000
Zr 0.9477 1.4547 3.1026
Cr 0.0596 0.0038 5.1017
H 1.4327 -0.1599 6.2358
! VASP energy = -21.48 eV/cell
! crystal system = triclinic
! space-group type = P1
! polymorph energy (0 for the lowest one) = 0.062 eV per atom


Q: Which of these has the highest VASP energy?
A: number 2


Q: Which formula does entry 1 have?
A: NaZrCrH